(1)
Here is a relaxed Cs2K2Pt crystal from the Alexandria database. Energies are from PBE-GGA.

a = 8.801 Å, b = 8.801 Å, c = 7.837 Å
α = 90.00°, β = 90.00°, γ = 90.00°
Fractional positions:
K  0.690  0.810  0.500
Cs  0.336  0.836  0.000
K  0.310  0.190  0.500
K  0.190  0.690  0.500
Cs  0.164  0.336  0.000
K  0.810  0.310  0.500
Pt  0.000  0.000  0.000
Pt  0.500  0.500  0.000
Cs  0.664  0.164  0.000
Cs  0.836  0.664  0.000

Values from the calculation:
Energy relative to the lowest polymorph listed for this composition ... 0.07 eV per formula unit
Volume ... 60.7 Å³/atom
Formation energy ... 180 meV per atom

=====

(2)
Here is a relaxed HoTc3C crystal from the Alexandria database. Energies are from PBE-GGA.

a = 4.215 Å, b = 4.215 Å, c = 4.215 Å
α = 90.00°, β = 90.00°, γ = 90.00°
Fractional positions:
C  0.000  0.000  0.000
Tc  0.000  0.500  0.000
Tc  0.000  0.000  0.500
Tc  0.500  0.000  0.000
Ho  0.500  0.500  0.500

Values from the calculation:
Volume ... 15.0 Å³/atom
Formation energy ... 21 meV per atom